No. 1
Material: Pm5Tm4Cd
Method: DFT, PBE-GGA
State: relaxed

```
Pm5Tm4Cd
1.0
3.600 0.000 0.000
0.000 3.600 0.000
0.000 0.000 24.217
Pm Tm Cd
5 4 1
direct
0.500 0.500 0.705
0.500 0.500 0.911
0.500 0.500 0.089
0.500 0.500 0.500
0.500 0.500 0.295
0.000 0.000 0.808
0.000 0.000 0.603
0.000 0.000 0.397
0.000 0.000 0.192
0.000 0.000 0.000
```

## Properties
Energy of formation   -0.04 eV/atom
Crystal system   tetragonal
Symmetry   No. 123


No. 2
Material: PmTm5Cd4
Method: DFT, PBE-GGA
State: relaxed

```
PmTm5Cd4
1.0
-1.771 -2.297 -2.214
1.378 -2.834 1.838
-15.871 0.311 12.372
Cd Tm Pm
4 5 1
direct
0.000 0.000 0.595
0.000 0.000 0.218
0.000 0.000 0.405
0.000 0.000 0.782
0.500 0.500 0.123
0.500 0.500 0.500
0.500 0.500 0.687
0.500 0.500 0.877
0.500 0.500 0.313
0.000 0.000 0.000
```

## Properties
Energy of formation   -0.24 eV/atom
Crystal system   tetragonal
Symmetry   No. 123